Version w
Density functional theory data (PBE) for crystalline NaTa2C2 at its relaxed geometry.

a = 6.6314 Å, b = 6.6314 Å, c = 2.8557 Å
α = 90.00°, β = 90.00°, γ = 90.00°
Element x y z (fractional)
C: 0.1489 0.6489 0.5000
C: 0.3511 0.1489 0.5000
C: 0.8511 0.3511 0.5000
Na: 0.0000 0.0000 0.0000
C: 0.6489 0.8511 0.5000
Ta: 0.6365 0.1366 0.0000
Ta: 0.8634 0.6365 0.0000
Ta: 0.3634 0.8634 0.0000
Ta: 0.1366 0.3634 0.0000
Na: 0.5000 0.5000 0.0000

Version x
Density functional theory data (PBE) for crystalline NaTa2C2 at its relaxed geometry.

a = 4.0920 Å, b = 4.0920 Å, c = 5.3626 Å
α = 67.57°, β = 67.57°, γ = 90.00°
Element x y z (fractional)
Na: 0.0000 0.0000 0.0000
C: 0.2500 0.7500 0.5000
Ta: 0.3186 0.3186 0.3629
C: 0.7500 0.2500 0.5000
Ta: 0.6814 0.6814 0.6371

Most stable to least stable, the ends of the list are version x and version w.